[1]
The following is a DFT calculation (GGA-PBE) of an optimized crystal structure of Cs3PmTh3Se8.

## Properties
Space-group type = No. 166
ΔE_f (raw) = -1636 meV per atom

Cell lengths 8.5733, 8.5726, 9.9259 Å; angles 115.61, 90.00, 120.00 degrees
Fractional coordinates of all 15 atoms:
1 Cs 0.0000 0.0000 0.0000
2 Cs 0.0000 0.5000 0.0000
3 Cs 0.5000 0.5000 0.0000
4 Pm 0.0000 0.0000 0.5000
5 Th 0.5000 0.0000 0.5000
6 Th 0.5000 0.5000 0.5000
7 Th 0.0000 0.5000 0.5000
8 Se 0.2683 0.5367 0.3054
9 Se 0.7317 0.4633 0.6946
10 Se 0.7680 0.5361 0.3101
11 Se 0.2320 0.4639 0.6899
12 Se 0.7681 0.0417 0.3100
13 Se 0.2319 0.9583 0.6900
14 Se 0.2736 0.0417 0.3100
15 Se 0.7264 0.9583 0.6900

[2]
The following is a DFT calculation (GGA-PBE) of an optimized crystal structure of La2Tb6NdTm3.

## Properties
Space-group type = No. 12
Formation enthalpy at 0 K = 0.294 eV per formula unit

Cell lengths 6.2137, 6.2137, 11.8769 Å; angles 95.01, 95.01, 120.01 degrees
Fractional coordinates of all 12 atoms:
1 La 0.3335 0.6665 0.0000
2 La 0.6665 0.3335 0.0000
3 Tb 0.9136 0.5807 0.7431
4 Tb 0.7536 0.7536 0.2569
5 Tb 0.0864 0.4193 0.2569
6 Tb 0.5807 0.9136 0.7431
7 Tb 0.2464 0.2464 0.7431
8 Tb 0.4193 0.0864 0.2569
9 Nd 0.0000 0.0000 0.0000
10 Tm 0.1665 0.8335 0.5000
11 Tm 0.8335 0.1665 0.5000
12 Tm 0.5000 0.5000 0.5000

[3]
The following is a DFT calculation (GGA-PBE) of an optimized crystal structure of Cu2RuSe.

## Properties
Space-group type = No. 160
ΔE_f (raw) = 278 meV per atom

Cell lengths 8.1218, 8.1218, 8.1218 Å; angles 20.87, 20.87, 20.87 degrees
Each line ends with the local moment (μB).
Fractional coordinates of all 4 atoms:
1 Cu 0.9953 0.9953 0.9953  0.01
2 Cu 0.2510 0.2510 0.2510  0.02
3 Ru 0.4978 0.4978 0.4978  0.39
4 Se 0.7559 0.7559 0.7559  0.02

| no. | total DFT energy (no corrections) (eV/atom) |
| --- | --- |
| 1 | -5.465 |
| 2 | -4.627 |
| 3 | -4.960 |